# 1
DFT (GGA-PBE) results for a geometry-optimized TaFe2Ru2 structure.

Structure (POSCAR):
```
TaFe2Ru2
1.0
7.112 0.000 0.000
0.000 7.112 0.000
0.000 0.000 2.690
Ta Fe Ru
2 4 4
Cartesian
0.000 0.000 0.000
3.556 3.556 0.000
1.212 2.344 1.345
2.344 5.900 1.345
4.768 1.212 1.345
5.900 4.768 1.345
0.903 4.459 0.000
2.653 0.903 0.000
4.459 6.209 0.000
6.209 2.653 0.000
```

## Properties
The energy above the most stable polymorph in this dataset comes out at 86.1 meV per atom. For the size of the total moment, the calculation gives 0.00 μB per formula unit. As for the total energy: -9.330 eV/atom. For the formation energy, the calculation gives 0.136 eV per atom.

# 2
DFT (GGA-PBE) results for a geometry-optimized TaFeRu2 structure.

Structure (POSCAR):
```
TaFeRu2
1.0
0.000 3.085 3.085
3.085 0.000 3.085
3.085 3.085 0.000
Ta Fe Ru
1 1 2
Cartesian
0.000 0.000 0.000
1.543 1.543 1.543
3.085 3.085 3.085
4.628 4.628 4.628
```

## Properties
The energy above the most stable polymorph in this dataset comes out at 274.0 meV per atom. For the size of the total moment, the calculation gives 3.91 μB per formula unit. As for the total energy: -9.637 eV/atom. For the formation energy, the calculation gives 0.080 eV per atom.

# 3
DFT (GGA-PBE) results for a geometry-optimized TaFe2Ru structure.

Structure (POSCAR):
```
TaFe2Ru
1.0
1.354 0.782 8.817
-1.354 0.782 8.817
0.000 -1.564 8.817
Ta Fe Ru
1 2 1
Cartesian
0.000 0.000 0.000
0.000 0.000 6.500
0.000 0.000 19.951
0.000 0.000 13.225
```

## Properties
The energy above the most stable polymorph in this dataset comes out at 412.0 meV per atom. For the size of the total moment, the calculation gives 3.81 μB per formula unit. As for the total energy: -9.238 eV/atom. For the formation energy, the calculation gives 0.276 eV per atom.

# 4
DFT (GGA-PBE) results for a geometry-optimized TaFe2Ru structure.

Structure (POSCAR):
```
TaFe2Ru
1.0
1.574 -2.156 0.000
1.574 2.156 0.000
0.000 0.000 8.356
Ta Fe Ru
1 2 1
Cartesian
0.000 0.000 0.000
1.574 0.000 2.159
1.574 0.000 6.197
0.000 0.000 4.178
```

## Properties
The energy above the most stable polymorph in this dataset comes out at 332.9 meV per atom. For the size of the total moment, the calculation gives 5.53 μB per formula unit. As for the total energy: -9.317 eV/atom. For the formation energy, the calculation gives 0.197 eV per atom.

# 5
DFT (GGA-PBE) results for a geometry-optimized TaFeRu2 structure.

Structure (POSCAR):
```
TaFeRu2
1.0
4.411 -1.399 0.000
4.411 1.399 0.000
-0.898 0.000 4.677
Ta Fe Ru
1 1 2
Cartesian
0.000 0.000 0.000
3.962 0.000 2.339
1.497 0.000 3.405
6.427 0.000 1.273
```

## Properties
The energy above the most stable polymorph in this dataset comes out at 180.3 meV per atom. For the size of the total moment, the calculation gives 1.92 μB per formula unit. As for the total energy: -9.730 eV/atom. For the formation energy, the calculation gives -0.014 eV per atom.

# 6
DFT (GGA-PBE) results for a geometry-optimized TaFe2Ru structure.

Structure (POSCAR):
```
TaFe2Ru
1.0
2.708 0.000 0.000
0.000 4.167 0.000
-0.955 0.000 4.965
Ta Fe Ru
1 2 1
Cartesian
0.000 0.000 0.000
0.939 0.000 2.412
1.725 2.083 1.317
-0.037 2.083 3.660
```

## Properties
The energy above the most stable polymorph in this dataset comes out at 138.9 meV per atom. For the size of the total moment, the calculation gives 4.87 μB per formula unit. As for the total energy: -9.511 eV/atom. For the formation energy, the calculation gives 0.003 eV per atom.

# 7
DFT (GGA-PBE) results for a geometry-optimized TaFeRu2 structure.

Structure (POSCAR):
```
TaFeRu2
1.0
-1.908 1.908 3.940
1.908 -1.908 3.940
1.908 1.908 -3.940
Ta Fe Ru
1 1 2
Cartesian
0.000 0.000 0.000
1.908 0.000 1.970
0.000 0.000 3.940
0.000 1.908 1.970
```

## Properties
The energy above the most stable polymorph in this dataset comes out at 103.9 meV per atom. For the size of the total moment, the calculation gives 1.65 μB per formula unit. As for the total energy: -9.807 eV/atom. For the formation energy, the calculation gives -0.090 eV per atom.

# 8
DFT (GGA-PBE) results for a geometry-optimized TaFeRu2 structure.

Structure (POSCAR):
```
TaFeRu2
1.0
0.000 3.092 3.092
3.092 0.000 3.092
3.092 3.092 0.000
Ta Fe Ru
1 1 2
Cartesian
0.000 0.000 0.000
3.092 3.092 3.092
1.546 1.546 1.546
4.638 4.638 4.638
```

## Properties
The energy above the most stable polymorph in this dataset comes out at 0.0 meV per atom. For the size of the total moment, the calculation gives 4.68 μB per formula unit. As for the total energy: -9.911 eV/atom. For the formation energy, the calculation gives -0.194 eV per atom.

# 9
DFT (GGA-PBE) results for a geometry-optimized TaFeRu2 structure.

Structure (POSCAR):
```
TaFeRu2
1.0
-1.901 1.901 8.685
1.901 -1.901 8.685
1.901 1.901 -8.685
Ta Fe Ru
2 2 4
Cartesian
0.000 0.000 0.000
0.000 1.901 4.342
1.901 0.000 4.342
0.000 0.000 8.685
0.951 -0.804 6.514
1.097 0.951 2.171
0.951 2.705 -2.171
0.804 0.951 10.856
```

## Properties
The energy above the most stable polymorph in this dataset comes out at 683.1 meV per atom. For the size of the total moment, the calculation gives 1.37 μB per formula unit. As for the total energy: -9.228 eV/atom. For the formation energy, the calculation gives 0.489 eV per atom.

# 10
DFT (GGA-PBE) results for a geometry-optimized TaFeRu2 structure.

Structure (POSCAR):
```
TaFeRu2
1.0
4.586 0.000 0.000
0.000 2.823 0.000
-1.508 0.000 4.450
Ta Fe Ru
1 1 2
Cartesian
0.000 0.000 0.000
-0.754 1.411 2.225
1.539 0.000 2.225
2.293 1.411 0.000
```

## Properties
The energy above the most stable polymorph in this dataset comes out at 177.1 meV per atom. For the size of the total moment, the calculation gives 1.78 μB per formula unit. As for the total energy: -9.734 eV/atom. For the formation energy, the calculation gives -0.017 eV per atom.

# 11
DFT (GGA-PBE) results for a geometry-optimized Ta3FeRu structure.

Structure (POSCAR):
```
Ta3FeRu
1.0
4.511 0.000 0.000
0.000 4.511 0.000
0.000 0.000 4.511
Ta Fe Ru
3 1 1
Cartesian
0.000 0.000 2.255
0.000 2.255 0.000
2.255 0.000 0.000
0.000 0.000 0.000
2.255 2.255 2.255
```

## Properties
The energy above the most stable polymorph in this dataset comes out at 0.0 meV per atom. For the size of the total moment, the calculation gives 0.00 μB per formula unit. As for the total energy: -9.820 eV/atom. For the formation energy, the calculation gives 0.839 eV per atom.

# 12
DFT (GGA-PBE) results for a geometry-optimized Ta4FeRu structure.

Structure (POSCAR):
```
Ta4FeRu
1.0
0.000 3.765 3.765
3.765 0.000 3.765
3.765 3.765 0.000
Ta Fe Ru
4 1 1
Cartesian
0.944 0.944 0.944
2.821 2.821 0.944
2.821 0.944 2.821
0.944 2.821 2.821
5.647 5.647 5.647
3.765 3.765 3.765
```

## Properties
The energy above the most stable polymorph in this dataset comes out at 324.9 meV per atom. For the size of the total moment, the calculation gives 2.88 μB per formula unit. As for the total energy: -10.312 eV/atom. For the formation energy, the calculation gives 0.546 eV per atom.

# 13
DFT (GGA-PBE) results for a geometry-optimized TaFeRu3 structure.

Structure (POSCAR):
```
TaFeRu3
1.0
4.359 0.000 0.000
0.000 4.359 0.000
0.000 0.000 4.359
Ta Fe Ru
1 1 3
Cartesian
0.000 0.000 0.000
2.179 2.179 2.179
0.000 2.179 2.179
2.179 0.000 2.179
2.179 2.179 0.000
```

## Properties
For the size of the total moment, the calculation gives 1.79 μB per formula unit. As for the total energy: -8.489 eV/atom. For the formation energy, the calculation gives 1.140 eV per atom.

# 14
DFT (GGA-PBE) results for a geometry-optimized TaFe2Ru2 structure.

Structure (POSCAR):
```
TaFe2Ru2
1.0
7.020 0.000 0.000
0.000 7.020 0.000
0.000 0.000 2.731
Ta Fe Ru
2 4 4
Cartesian
0.000 0.000 0.000
3.510 3.510 0.000
0.840 2.670 0.000
2.670 6.180 0.000
4.350 0.840 0.000
6.180 4.350 0.000
1.228 4.738 1.366
2.282 1.228 1.366
4.738 5.792 1.366
5.792 2.282 1.366
```

## Properties
The energy above the most stable polymorph in this dataset comes out at 0.0 meV per atom. For the size of the total moment, the calculation gives 0.00 μB per formula unit. As for the total energy: -9.416 eV/atom. For the formation energy, the calculation gives 0.050 eV per atom.